# 1
{"formula": "TbInSe3", "functional": "PBE-GGA", "state": "relaxed", "magnetic_moment_mub_per_cell": 0.00, "vol_a3_per_atom": 28.41, "energy_ev_per_atom": -4.6919, "lattice_angstrom": [[-0.618, -2.329, 6.961], [6.131, -3.941, -0.774], [5.940, 9.137, 0.534]], "species": ["Se", "Tb", "Tb", "Se", "Se", "Tb", "Se", "In", "In", "Se", "Se", "Se", "Se", "In", "Se", "In", "Se", "Se", "Tb", "Se"], "frac_coords": [[0.545, 0.627, 0.712], [0.678, 0.113, 0.184], [0.322, 0.887, 0.816], [0.454, 0.231, 0.930], [0.416, 0.116, 0.622], [0.178, 0.387, 0.684], [0.584, 0.884, 0.378], [0.754, 0.397, 0.877], [0.254, 0.103, 0.377], [0.084, 0.616, 0.878], [0.546, 0.769, 0.070], [0.045, 0.873, 0.212], [0.046, 0.731, 0.570], [0.246, 0.603, 0.123], [0.954, 0.269, 0.430], [0.746, 0.897, 0.623], [0.916, 0.384, 0.122], [0.455, 0.373, 0.288], [0.822, 0.613, 0.316], [0.955, 0.127, 0.788]]}


# 2
{"formula": "TbIn3Se4", "functional": "PBE-GGA", "state": "relaxed", "magnetic_moment_mub_per_cell": 0.00, "vol_a3_per_atom": 28.07, "energy_ev_per_atom": -4.2131, "lattice_angstrom": [[-0.906, 2.387, 3.244], [-1.293, -1.713, 3.526], [13.676, -0.804, 7.040]], "species": ["In", "Se", "Se", "In", "Se", "Se", "Tb", "In"], "frac_coords": [[0.248, 0.248, 0.255], [0.867, 0.867, 0.399], [0.631, 0.631, 0.108], [0.500, 0.500, 0.500], [0.369, 0.369, 0.892], [0.133, 0.133, 0.601], [0.000, 0.000, 0.000], [0.752, 0.752, 0.745]]}


# 3
{"formula": "Tb2InSe", "functional": "PBE-GGA", "state": "relaxed", "magnetic_moment_mub_per_cell": 0.00, "vol_a3_per_atom": 26.44, "energy_ev_per_atom": -4.9918, "lattice_angstrom": [[4.226, 0.000, 0.000], [0.000, 4.265, -0.757], [0.000, -0.112, 11.755]], "species": ["Se", "Tb", "In", "Tb", "Tb", "In", "Tb", "Se"], "frac_coords": [[0.750, 0.807, 0.614], [0.750, 0.930, 0.860], [0.750, 0.545, 0.089], [0.250, 0.317, 0.634], [0.750, 0.683, 0.366], [0.250, 0.455, 0.911], [0.250, 0.070, 0.140], [0.250, 0.193, 0.386]]}


Uncorrected formation energy (computed, kJ/mol of atoms): -108.79, -83.47, -108.15